BaPa3Se6 | GGA-PBE | relaxed

```
BaPa3Se6
1.0
4.168 0.000 0.000
0.000 11.349 -3.630
0.000 -0.198 12.338
Ba Pa Se
2 6 12
Direct
0.750 0.057 0.696 Ba
0.250 0.943 0.304 Ba
0.750 0.463 0.841 Pa
0.250 0.537 0.159 Pa
0.750 0.673 0.493 Pa
0.250 0.327 0.507 Pa
0.750 0.152 0.085 Pa
0.250 0.848 0.915 Pa
0.750 0.497 0.620 Se
0.250 0.503 0.380 Se
0.750 0.913 0.088 Se
0.250 0.087 0.912 Se
0.750 0.374 0.034 Se
0.250 0.626 0.966 Se
0.750 0.706 0.263 Se
0.250 0.294 0.737 Se
0.750 0.147 0.469 Se
0.250 0.853 0.531 Se
0.750 0.793 0.749 Se
0.250 0.207 0.251 Se
```

Output
E_form (uncorrected) (kJ/mol of atoms): -138.76
Spin magnetization (μB per formula unit): 4.8
Crystal system: monoclinic
Space-group type: P2_1/m, No. 11
D(E_F) (states/eV per cell): 27.1

---

BaPaSe6 | GGA-PBE | relaxed

```
BaPaSe6
1.0
6.308 0.388 0.438
-0.304 6.313 0.438
-0.304 -0.339 6.319
Ba Pa Se
1 1 6
Direct
0.000 0.000 0.000 Ba
0.500 0.500 0.500 Pa
0.195 0.572 0.195 Se
0.195 0.195 0.572 Se
0.805 0.428 0.805 Se
0.428 0.805 0.805 Se
0.805 0.805 0.428 Se
0.572 0.195 0.195 Se
```

Output
E_form (uncorrected) (kJ/mol of atoms): -68.24
Spin magnetization (μB per formula unit): 0.0
Crystal system: trigonal
Space-group type: R-3m, No. 166
D(E_F) (states/eV per cell): 4.0